Record 1
{
  "formula": "Pa2Rh3Pb",
  "functional": "PBE-GGA",
  "state": "optimized geometry",
  "lattice_angstrom": [[0.0000, 6.5186, 6.5186], [6.5186, 0.0000, 6.5186], [6.5186, 6.5186, 0.0000]],
  "species": ["Pa", "Pa", "Pa", "Pa", "Pa", "Pa", "Pa", "Pa", "Rh", "Rh", "Rh", "Rh", "Rh", "Rh", "Rh", "Rh", "Rh", "Rh", "Rh", "Rh", "Pb", "Pb", "Pb", "Pb"],
  "fractional_positions": [[0.1800, 0.7733, 0.7733], [0.2267, 0.2267, 0.2267], [0.2267, 0.2267, 0.8200], [0.2267, 0.8200, 0.2267], [0.7733, 0.1800, 0.7733], [0.7733, 0.7733, 0.1800], [0.7733, 0.7733, 0.7733], [0.8200, 0.2267, 0.2267], [0.1184, 0.1184, 0.6315], [0.1184, 0.6315, 0.1184], [0.1184, 0.6315, 0.6315], [0.3684, 0.3684, 0.8816], [0.3684, 0.8816, 0.3684], [0.3684, 0.8816, 0.8816], [0.6315, 0.1184, 0.1184], [0.6315, 0.1184, 0.6315], [0.6315, 0.6315, 0.1184], [0.8816, 0.3684, 0.3684], [0.8816, 0.3684, 0.8816], [0.8816, 0.8816, 0.3684], [0.0000, 0.5000, 0.5000], [0.5000, 0.0000, 0.5000], [0.5000, 0.5000, 0.0000], [0.5000, 0.5000, 0.5000]],
  "e_form_ev_per_atom": -0.298
}

Record 2
{
  "formula": "PaRuPb",
  "functional": "PBE-GGA",
  "state": "optimized geometry",
  "lattice_angstrom": [[-1.6704, 1.6704, 6.0282], [1.6704, -1.6704, 6.0282], [1.6704, 1.6704, -6.0282]],
  "species": ["Pa", "Ru", "Pb"],
  "fractional_positions": [[0.0000, 0.0000, 0.0000], [0.3722, 0.3722, 0.0000], [0.7128, 0.7128, 0.0000]],
  "e_form_ev_per_atom": -0.111
}

Record 3
{
  "formula": "PaPbS2",
  "functional": "PBE-GGA",
  "state": "optimized geometry",
  "lattice_angstrom": [[1.8761, 1.0832, 8.5611], [-1.8761, 1.0832, 8.5611], [0.0000, -2.1663, 8.5611]],
  "species": ["Pa", "Pb", "S", "S"],
  "fractional_positions": [[0.0000, 0.0000, 0.0000], [0.5000, 0.5000, 0.5000], [0.2691, 0.2691, 0.2691], [0.7309, 0.7309, 0.7309]],
  "e_form_raw_mev_per_atom": -966
}

Record 4
{
  "formula": "PaPbS3",
  "functional": "PBE-GGA",
  "state": "optimized geometry",
  "lattice_angstrom": [[5.5223, -7.8723, 0.0000], [5.5223, 7.8723, 0.0000], [0.0000, 0.0000, 5.6761]],
  "species": ["Pa", "Pa", "Pa", "Pa", "Pb", "Pb", "Pb", "Pb", "S", "S", "S", "S", "S", "S", "S", "S", "S", "S", "S", "S"],
  "fractional_positions": [[0.1093, 0.3907, 0.2500], [0.3907, 0.1093, 0.7500], [0.6093, 0.8907, 0.2500], [0.8907, 0.6093, 0.7500], [0.1111, 0.8889, 0.2830], [0.3889, 0.6111, 0.7830], [0.6111, 0.3889, 0.2170], [0.8889, 0.1111, 0.7170], [0.0649, 0.4351, 0.7500], [0.1659, 0.8341, 0.7577], [0.1769, 0.1769, 0.5000], [0.3231, 0.3231, 0.0000], [0.3341, 0.6659, 0.2577], [0.4351, 0.0649, 0.2500], [0.5649, 0.9351, 0.7500], [0.6659, 0.3341, 0.7423], [0.6769, 0.6769, 0.0000], [0.8231, 0.8231, 0.5000], [0.8341, 0.1659, 0.2423], [0.9351, 0.5649, 0.2500]],
  "e_form_raw_mev_per_atom": -1083,
  "relative_energy_ev_per_atom": 0.000
}